# 1
ZnTe2NF | GGA-PBE | relaxed

Computed properties:
- Symmetry: P4/mmm, No. 123
- E above lowest polymorph: 0.376 eV per atom
- Fermi-level density of states: 3.32 states/eV/cell
- Uncorrected energy: -2.52 eV per atom

abc: 4.9188 4.9188 3.9575
angles: 90.00 90.00 90.00
Element x y z (fractional)
1 N 0.0000 0.0000 0.5000
2 Zn 0.5000 0.5000 0.5000
3 Te 0.0000 0.5000 0.0000
4 Te 0.5000 0.0000 0.0000
5 F 0.0000 0.0000 0.0000

# 2
PmDy2Ho3 | GGA-PBE | relaxed

Computed properties:
- Symmetry: P-1, No. 2
- E above lowest polymorph: 0.000 eV per atom
- Fermi-level density of states: 15.05 states/eV/cell
- Uncorrected energy: -4.62 eV per atom
- Formation energy: 0.00 eV/atom

abc: 7.1566 10.1599 7.1493
angles: 79.93 119.92 121.85
Element x y z (fractional)
1 Pm 0.2494 0.9996 0.2499
2 Pm 0.7506 0.0004 0.7501
3 Dy 0.3038 0.6644 0.3606
4 Dy 0.3045 0.6656 0.8609
5 Dy 0.6955 0.3344 0.1391
6 Dy 0.6962 0.3356 0.6394
7 Ho 0.2496 0.9997 0.7498
8 Ho 0.7504 0.0003 0.2502
9 Ho 0.8035 0.6645 0.8605
10 Ho 0.1958 0.3343 0.6391
11 Ho 0.8042 0.6657 0.3609
12 Ho 0.1965 0.3355 0.1395

# 3
DyPaAgAu | GGA-PBE | relaxed

Computed properties:
- Symmetry: F-43m, No. 216
- Fermi-level density of states: 6.75 states/eV/cell
- Uncorrected energy: -5.22 eV per atom
- Formation energy: -0.17 eV/atom

abc: 5.1174 5.1174 5.1174
angles: 60.00 60.00 60.00
Last column: magnetic moment on the atom in μB.
Element x y z (fractional)
1 Pa 0.0000 0.0000 0.0000  0.61
2 Au 0.7500 0.7500 0.7500  -0.01
3 Ag 0.2500 0.2500 0.2500  -0.01
4 Dy 0.5000 0.5000 0.5000  0.10

# 4
CaV2Os | GGA-PBE | relaxed

Computed properties:
- Symmetry: I4_1/amd, No. 141
- E above lowest polymorph: 0.898 eV per atom
- Fermi-level density of states: 10.99 states/eV/cell
- Uncorrected energy: -6.97 eV per atom
- Formation energy: 0.90 eV/atom

abc: 4.5544 4.5544 9.1955
angles: 75.66 75.66 90.00
Element x y z (fractional)
1 Ca 0.5000 0.5000 0.0000
2 Ca 0.2500 0.7500 0.5000
3 Os 0.0000 0.0000 0.0000
4 Os 0.7500 0.2500 0.5000
5 V 0.8752 0.1250 0.2500
6 V 0.8748 0.6250 0.2500
7 V 0.3750 0.1248 0.7500
8 V 0.8750 0.1252 0.7500

# 5
Rh3W | GGA-PBE | relaxed

Computed properties:
- Symmetry: P4/mmm, No. 123
- Fermi-level density of states: 6.76 states/eV/cell
- Uncorrected energy: -8.82 eV per atom
- Formation energy: -0.07 eV/atom

abc: 2.7559 2.7559 7.7426
angles: 90.00 90.00 90.00
Last column: magnetic moment on the atom in μB.
Element x y z (fractional)
1 Rh 0.0000 0.0000 0.7546  0.05
2 Rh 0.0000 0.0000 0.2454  0.05
3 Rh 0.5000 0.5000 0.5000  0.22
4 W 0.5000 0.5000 0.0000  0.01

# 6
Sc3BeMo | GGA-PBE | relaxed

Computed properties:
- Symmetry: Pm-3m, No. 221
- E above lowest polymorph: 0.000 eV per atom
- Fermi-level density of states: 6.61 states/eV/cell
- Uncorrected energy: -6.01 eV per atom
- Formation energy: 0.70 eV/atom

abc: 4.6998 4.6998 4.6998
angles: 90.00 90.00 90.00
Last column: magnetic moment on the atom in μB.
Element x y z (fractional)
1 Sc 0.0000 0.5000 0.0000  -0.04
2 Sc 0.0000 0.0000 0.5000  -0.01
3 Sc 0.5000 0.0000 0.0000  -0.04
4 Be 0.0000 0.0000 0.0000  0.01
5 Mo 0.5000 0.5000 0.5000  1.32

# 7
V2CrMo2 | GGA-PBE | relaxed

Computed properties:
- Symmetry: I4_1/amd, No. 141
- E above lowest polymorph: 0.525 eV per atom
- Fermi-level density of states: 11.76 states/eV/cell
- Uncorrected energy: -9.47 eV per atom
- Formation energy: 0.44 eV/atom

abc: 4.2356 4.2356 9.1622
angles: 103.36 103.36 90.00
Element x y z (fractional)
1 V 0.4175 0.9175 0.8350
2 V 0.6675 0.6675 0.3350
3 V 0.3325 0.3325 0.6650
4 V 0.0825 0.5825 0.1650
5 Cr 0.5000 0.5000 0.0000
6 Cr 0.2500 0.7500 0.5000
7 Mo 0.8280 0.8280 0.6560
8 Mo 0.5780 0.0780 0.1560
9 Mo 0.9220 0.4220 0.8440
10 Mo 0.1720 0.1720 0.3440

# 8
Na2TlCd2Hg2 | GGA-PBE | relaxed

Computed properties:
- Symmetry: R-3m, No. 166
- Fermi-level density of states: 2.97 states/eV/cell
- Uncorrected energy: -1.17 eV per atom
- Formation energy: -0.11 eV/atom

abc: 5.1402 5.1402 8.3923
angles: 72.17 72.17 60.00
Element x y z (fractional)
1 Na 0.1386 0.1386 0.5843
2 Na 0.8614 0.8614 0.4157
3 Tl 0.0000 0.0000 0.0000
4 Cd 0.7204 0.7204 0.8388
5 Cd 0.2796 0.2796 0.1612
6 Hg 0.5717 0.5717 0.2848
7 Hg 0.4283 0.4283 0.7152